Entry 1:
# PBE HgOsW2, relaxed
data_HgOsW2
_cell_length_a 5.079
_cell_length_b 5.079
_cell_length_c 5.079
_cell_angle_alpha 134.51
_cell_angle_beta 134.51
_cell_angle_gamma 66.29
_symmetry_space_group_name_H-M 'P 1'
_symmetry_Int_Tables_number 1
loop_
_symmetry_equiv_pos_as_xyz
'x,y,z'
loop_
_atom_site_label
_atom_site_fract_x
_atom_site_fract_y
_atom_site_fract_z
_atom_site_occupancy
W1 0.500 0.500 0.000 1
W2 0.000 0.000 0.000 1
Os1 0.750 0.250 0.500 1
Hg1 0.250 0.750 0.500 1
# Total moment: 0.00 μB/f.u.
# Fermi-level density of states: 5.38 states/eV/cell
# Uncorrected energy: -34.6 eV per cell
# ΔH_f (0 K): 0.70 eV per atom

Entry 2:
# PBE HgOs2W, relaxed
data_HgOs2W
_cell_length_a 2.795
_cell_length_b 2.795
_cell_length_c 9.456
_cell_angle_alpha 90.00
_cell_angle_beta 90.00
_cell_angle_gamma 115.52
_symmetry_space_group_name_H-M 'P 1'
_symmetry_Int_Tables_number 1
loop_
_symmetry_equiv_pos_as_xyz
'x,y,z'
loop_
_atom_site_label
_atom_site_fract_x
_atom_site_fract_y
_atom_site_fract_z
_atom_site_occupancy
Os1 0.000 0.000 0.022 1
Os2 0.000 0.000 0.478 1
Hg1 0.500 0.500 0.750 1
W1 0.500 0.500 0.250 1
# Total moment: 0.00 μB/f.u.
# Fermi-level density of states: 3.33 states/eV/cell
# Uncorrected energy: -33.2 eV per cell
# ΔH_f (0 K): 0.62 eV per atom

Entry 3:
# PBE HgOs2W, relaxed
data_HgOs2W
_cell_length_a 4.789
_cell_length_b 4.789
_cell_length_c 4.789
_cell_angle_alpha 129.34
_cell_angle_beta 129.34
_cell_angle_gamma 74.46
_symmetry_space_group_name_H-M 'P 1'
_symmetry_Int_Tables_number 1
loop_
_symmetry_equiv_pos_as_xyz
'x,y,z'
loop_
_atom_site_label
_atom_site_fract_x
_atom_site_fract_y
_atom_site_fract_z
_atom_site_occupancy
W1 0.250 0.750 0.500 1
Hg1 0.750 0.250 0.500 1
Os1 0.500 0.500 0.000 1
Os2 0.000 0.000 0.000 1
# Total moment: 0.00 μB/f.u.
# Fermi-level density of states: 3.11 states/eV/cell
# Uncorrected energy: -33.1 eV per cell
# ΔH_f (0 K): 0.65 eV per atom

Entry 4:
# PBE HgOsW2, relaxed
data_HgOsW2
_cell_length_a 5.388
_cell_length_b 5.388
_cell_length_c 5.388
_cell_angle_alpha 145.35
_cell_angle_beta 130.90
_cell_angle_gamma 61.48
_symmetry_space_group_name_H-M 'P 1'
_symmetry_Int_Tables_number 1
loop_
_symmetry_equiv_pos_as_xyz
'x,y,z'
loop_
_atom_site_label
_atom_site_fract_x
_atom_site_fract_y
_atom_site_fract_z
_atom_site_occupancy
W1 0.489 0.489 0.000 1
W2 0.011 0.011 0.000 1
Os1 0.250 0.750 0.500 1
Hg1 0.750 0.250 0.500 1
# Total moment: 0.00 μB/f.u.
# Fermi-level density of states: 3.34 states/eV/cell
# Uncorrected energy: -34.6 eV per cell
# ΔH_f (0 K): 0.70 eV per atom

Entry 5:
# PBE HgOs2W, relaxed
data_HgOs2W
_cell_length_a 4.872
_cell_length_b 4.872
_cell_length_c 5.013
_cell_angle_alpha 79.90
_cell_angle_beta 79.90
_cell_angle_gamma 34.08
_symmetry_space_group_name_H-M 'P 1'
_symmetry_Int_Tables_number 1
loop_
_symmetry_equiv_pos_as_xyz
'x,y,z'
loop_
_atom_site_label
_atom_site_fract_x
_atom_site_fract_y
_atom_site_fract_z
_atom_site_occupancy
Os1 0.015 0.015 0.963 1
Os2 0.485 0.485 0.537 1
W1 0.750 0.750 0.750 1
Hg1 0.250 0.250 0.250 1
# Total moment: 0.00 μB/f.u.
# Fermi-level density of states: 3.31 states/eV/cell
# Uncorrected energy: -33.4 eV per cell
# ΔH_f (0 K): 0.57 eV per atom

Entry 6:
# PBE HgOs2W, relaxed
data_HgOs2W
_cell_length_a 9.590
_cell_length_b 9.590
_cell_length_c 9.590
_cell_angle_alpha 16.98
_cell_angle_beta 16.98
_cell_angle_gamma 16.98
_symmetry_space_group_name_H-M 'P 1'
_symmetry_Int_Tables_number 1
loop_
_symmetry_equiv_pos_as_xyz
'x,y,z'
loop_
_atom_site_label
_atom_site_fract_x
_atom_site_fract_y
_atom_site_fract_z
_atom_site_occupancy
Os1 0.993 0.993 0.993 1
Os2 0.507 0.507 0.507 1
W1 0.250 0.250 0.250 1
Hg1 0.750 0.750 0.750 1
# Total moment: 0.00 μB/f.u.
# Fermi-level density of states: 2.76 states/eV/cell
# Uncorrected energy: -34.1 eV per cell
# ΔH_f (0 K): 0.40 eV per atom

Entry 7:
# PBE HgOs2W, relaxed
data_HgOs2W
_cell_length_a 4.988
_cell_length_b 4.988
_cell_length_c 4.874
_cell_angle_alpha 79.47
_cell_angle_beta 79.47
_cell_angle_gamma 33.10
_symmetry_space_group_name_H-M 'P 1'
_symmetry_Int_Tables_number 1
loop_
_symmetry_equiv_pos_as_xyz
'x,y,z'
loop_
_atom_site_label
_atom_site_fract_x
_atom_site_fract_y
_atom_site_fract_z
_atom_site_occupancy
Os1 0.739 0.739 0.740 1
Os2 0.016 0.016 0.987 1
W1 0.489 0.489 0.534 1
Hg1 0.255 0.255 0.239 1
# Total moment: 0.00 μB/f.u.
# Fermi-level density of states: 3.72 states/eV/cell
# Uncorrected energy: -33.2 eV per cell
# ΔH_f (0 K): 0.63 eV per atom

Entry 8:
# PBE HgOs2W, relaxed
data_HgOs2W
_cell_length_a 7.376
_cell_length_b 7.376
_cell_length_c 5.887
_cell_angle_alpha 51.21
_cell_angle_beta 51.21
_cell_angle_gamma 90.00
_symmetry_space_group_name_H-M 'P 1'
_symmetry_Int_Tables_number 1
loop_
_symmetry_equiv_pos_as_xyz
'x,y,z'
loop_
_atom_site_label
_atom_site_fract_x
_atom_site_fract_y
_atom_site_fract_z
_atom_site_occupancy
Os1 0.174 0.625 0.250 1
Os2 0.576 0.125 0.250 1
Os3 0.375 0.424 0.750 1
Os4 0.875 0.826 0.750 1
W1 0.500 0.500 0.000 1
W2 0.250 0.750 0.500 1
Hg1 0.750 0.250 0.500 1
Hg2 0.000 0.000 0.000 1
# Total moment: 0.00 μB/f.u.
# Fermi-level density of states: 1.67 states/eV/cell
# Uncorrected energy: -63.0 eV per cell
# ΔH_f (0 K): 1.06 eV per atom

Entry 9:
# PBE HgOsW, relaxed
data_HgOsW
_cell_length_a 6.283
_cell_length_b 6.283
_cell_length_c 6.283
_cell_angle_alpha 152.51
_cell_angle_beta 152.51
_cell_angle_gamma 39.26
_symmetry_space_group_name_H-M 'P 1'
_symmetry_Int_Tables_number 1
loop_
_symmetry_equiv_pos_as_xyz
'x,y,z'
loop_
_atom_site_label
_atom_site_fract_x
_atom_site_fract_y
_atom_site_fract_z
_atom_site_occupancy
Os1 0.313 0.313 0.000 1
Hg1 0.999 0.999 0.000 1
W1 0.688 0.688 0.000 1
# Total moment: 0.00 μB/f.u.
# Fermi-level density of states: 2.05 states/eV/cell
# Uncorrected energy: -23.1 eV per cell
# ΔH_f (0 K): 0.48 eV per atom

Entry 10:
# PBE HgOsW, relaxed
data_HgOsW
_cell_length_a 7.754
_cell_length_b 7.534
_cell_length_c 2.798
_cell_angle_alpha 83.90
_cell_angle_beta 75.07
_cell_angle_gamma 21.03
_symmetry_space_group_name_H-M 'P 1'
_symmetry_Int_Tables_number 1
loop_
_symmetry_equiv_pos_as_xyz
'x,y,z'
loop_
_atom_site_label
_atom_site_fract_x
_atom_site_fract_y
_atom_site_fract_z
_atom_site_occupancy
Os1 0.678 0.678 0.322 1
Hg1 0.000 0.000 0.000 1
W1 0.321 0.321 0.679 1
# Total moment: 0.00 μB/f.u.
# Fermi-level density of states: 2.37 states/eV/cell
# Uncorrected energy: -22.5 eV per cell
# ΔH_f (0 K): 0.67 eV per atom

Entry 11:
# PBE HgOsW2, relaxed
data_HgOsW2
_cell_length_a 9.681
_cell_length_b 9.681
_cell_length_c 9.681
_cell_angle_alpha 16.88
_cell_angle_beta 16.88
_cell_angle_gamma 16.88
_symmetry_space_group_name_H-M 'P 1'
_symmetry_Int_Tables_number 1
loop_
_symmetry_equiv_pos_as_xyz
'x,y,z'
loop_
_atom_site_label
_atom_site_fract_x
_atom_site_fract_y
_atom_site_fract_z
_atom_site_occupancy
W1 0.006 0.006 0.006 1
W2 0.494 0.494 0.494 1
Os1 0.750 0.750 0.750 1
Hg1 0.250 0.250 0.250 1
# Total moment: 0.00 μB/f.u.
# Fermi-level density of states: 2.81 states/eV/cell
# Uncorrected energy: -35.6 eV per cell
# ΔH_f (0 K): 0.46 eV per atom

Entry 12:
# PBE HgOsW2, relaxed
data_HgOsW2
_cell_length_a 2.847
_cell_length_b 2.847
_cell_length_c 8.329
_cell_angle_alpha 90.00
_cell_angle_beta 90.00
_cell_angle_gamma 90.00
_symmetry_space_group_name_H-M 'P 1'
_symmetry_Int_Tables_number 1
loop_
_symmetry_equiv_pos_as_xyz
'x,y,z'
loop_
_atom_site_label
_atom_site_fract_x
_atom_site_fract_y
_atom_site_fract_z
_atom_site_occupancy
W1 0.000 0.000 0.983 1
W2 0.500 0.500 0.236 1
Os1 0.500 0.500 0.774 1
Hg1 0.000 0.000 0.507 1
# Total moment: 0.00 μB/f.u.
# Fermi-level density of states: 2.83 states/eV/cell
# Uncorrected energy: -35.4 eV per cell
# ΔH_f (0 K): 0.51 eV per atom

Entry 13:
# PBE HgOsW2, relaxed
data_HgOsW2
_cell_length_a 3.163
_cell_length_b 3.163
_cell_length_c 6.888
_cell_angle_alpha 90.00
_cell_angle_beta 90.00
_cell_angle_gamma 90.00
_symmetry_space_group_name_H-M 'P 1'
_symmetry_Int_Tables_number 1
loop_
_symmetry_equiv_pos_as_xyz
'x,y,z'
loop_
_atom_site_label
_atom_site_fract_x
_atom_site_fract_y
_atom_site_fract_z
_atom_site_occupancy
W1 0.000 0.000 0.990 1
W2 0.500 0.500 0.219 1
Hg1 0.000 0.000 0.502 1
Os1 0.500 0.500 0.789 1
# Total moment: 0.00 μB/f.u.
# Fermi-level density of states: 3.76 states/eV/cell
# Uncorrected energy: -35.0 eV per cell
# ΔH_f (0 K): 0.61 eV per atom

Entry 14:
# PBE HgOs2W, relaxed
data_HgOs2W
_cell_length_a 2.771
_cell_length_b 2.771
_cell_length_c 9.702
_cell_angle_alpha 90.00
_cell_angle_beta 90.00
_cell_angle_gamma 117.14
_symmetry_space_group_name_H-M 'P 1'
_symmetry_Int_Tables_number 1
loop_
_symmetry_equiv_pos_as_xyz
'x,y,z'
loop_
_atom_site_label
_atom_site_fract_x
_atom_site_fract_y
_atom_site_fract_z
_atom_site_occupancy
W1 0.000 0.000 0.480 1
Os1 0.000 0.000 0.017 1
Os2 0.500 0.500 0.250 1
Hg1 0.500 0.500 0.753 1
# Total moment: 0.36 μB/f.u.
# Fermi-level density of states: 4.73 states/eV/cell
# Uncorrected energy: -32.6 eV per cell
# ΔH_f (0 K): 0.77 eV per atom

Entry 15:
# PBE YHgOs2, relaxed
data_YHgOs2
_cell_length_a 2.915
_cell_length_b 2.915
_cell_length_c 9.322
_cell_angle_alpha 90.00
_cell_angle_beta 90.00
_cell_angle_gamma 111.90
_symmetry_space_group_name_H-M 'P 1'
_symmetry_Int_Tables_number 1
loop_
_symmetry_equiv_pos_as_xyz
'x,y,z'
loop_
_atom_site_label
_atom_site_fract_x
_atom_site_fract_y
_atom_site_fract_z
_atom_site_occupancy
Hg1 0.500 0.500 0.750 1
Y1 0.500 0.500 0.250 1
Os1 0.000 0.000 0.496 1
Os2 0.000 0.000 0.004 1
# Total moment: 0.00 μB/f.u.
# Fermi-level density of states: 4.24 states/eV/cell
# Uncorrected energy: -26.3 eV per cell
# ΔH_f (0 K): 0.73 eV per atom

Entry 16:
# PBE Y2Hg4Os, relaxed
data_Y2Hg4Os
_cell_length_a 5.227
_cell_length_b 5.227
_cell_length_c 8.294
_cell_angle_alpha 71.63
_cell_angle_beta 71.63
_cell_angle_gamma 90.00
_symmetry_space_group_name_H-M 'P 1'
_symmetry_Int_Tables_number 1
loop_
_symmetry_equiv_pos_as_xyz
'x,y,z'
loop_
_atom_site_label
_atom_site_fract_x
_atom_site_fract_y
_atom_site_fract_z
_atom_site_occupancy
Y1 0.617 0.617 0.767 1
Y2 0.383 0.383 0.233 1
Hg1 0.817 0.817 0.366 1
Hg2 0.500 0.000 0.000 1
Hg3 0.183 0.183 0.634 1
Hg4 0.000 0.500 0.000 1
Os1 0.000 0.000 0.000 1
# Total moment: 0.00 μB/f.u.
# Fermi-level density of states: 9.33 states/eV/cell
# Uncorrected energy: -23.2 eV per cell
# ΔH_f (0 K): 0.31 eV per atom

Entry 17:
# PBE YHgOs2, relaxed
data_YHgOs2
_cell_length_a 3.512
_cell_length_b 3.512
_cell_length_c 6.180
_cell_angle_alpha 90.00
_cell_angle_beta 90.00
_cell_angle_gamma 90.00
_symmetry_space_group_name_H-M 'P 1'
_symmetry_Int_Tables_number 1
loop_
_symmetry_equiv_pos_as_xyz
'x,y,z'
loop_
_atom_site_label
_atom_site_fract_x
_atom_site_fract_y
_atom_site_fract_z
_atom_site_occupancy
Y1 0.500 0.500 0.250 1
Os1 0.000 0.000 0.531 1
Os2 0.000 0.000 0.969 1
Hg1 0.500 0.500 0.750 1
# Total moment: 0.88 μB/f.u.
# Fermi-level density of states: 4.96 states/eV/cell
# Uncorrected energy: -26.7 eV per cell
# ΔH_f (0 K): 0.64 eV per atom

Entry 18:
# PBE YHg2Os, relaxed
data_YHg2Os
_cell_length_a 4.180
_cell_length_b 4.180
_cell_length_c 10.845
_cell_angle_alpha 78.89
_cell_angle_beta 78.89
_cell_angle_gamma 90.00
_symmetry_space_group_name_H-M 'P 1'
_symmetry_Int_Tables_number 1
loop_
_symmetry_equiv_pos_as_xyz
'x,y,z'
loop_
_atom_site_label
_atom_site_fract_x
_atom_site_fract_y
_atom_site_fract_z
_atom_site_occupancy
Os1 0.000 0.000 0.000 1
Os2 0.750 0.250 0.500 1
Hg1 0.375 0.347 0.750 1
Hg2 0.653 0.125 0.250 1
Hg3 0.097 0.625 0.250 1
Hg4 0.875 0.903 0.750 1
Y1 0.500 0.500 0.000 1
Y2 0.250 0.750 0.500 1
# Total moment: 0.00 μB/f.u.
# Fermi-level density of states: 4.92 states/eV/cell
# Uncorrected energy: -33.7 eV per cell
# ΔH_f (0 K): 0.37 eV per atom

Entry 19:
# PBE YHgOs2, relaxed
data_YHgOs2
_cell_length_a 5.822
_cell_length_b 5.822
_cell_length_c 5.822
_cell_angle_alpha 148.80
_cell_angle_beta 131.68
_cell_angle_gamma 58.65
_symmetry_space_group_name_H-M 'P 1'
_symmetry_Int_Tables_number 1
loop_
_symmetry_equiv_pos_as_xyz
'x,y,z'
loop_
_atom_site_label
_atom_site_fract_x
_atom_site_fract_y
_atom_site_fract_z
_atom_site_occupancy
Os1 0.983 0.983 0.000 1
Os2 0.779 0.279 0.500 1
Hg1 0.227 0.727 0.500 1
Y1 0.510 0.510 0.000 1
# Total moment: 0.22 μB/f.u.
# Fermi-level density of states: 4.41 states/eV/cell
# Uncorrected energy: -27.6 eV per cell
# ΔH_f (0 K): 0.40 eV per atom

Entry 20:
# PBE YHg2Os, relaxed
data_YHg2Os
_cell_length_a 10.185
_cell_length_b 10.185
_cell_length_c 10.185
_cell_angle_alpha 17.50
_cell_angle_beta 17.50
_cell_angle_gamma 17.50
_symmetry_space_group_name_H-M 'P 1'
_symmetry_Int_Tables_number 1
loop_
_symmetry_equiv_pos_as_xyz
'x,y,z'
loop_
_atom_site_label
_atom_site_fract_x
_atom_site_fract_y
_atom_site_fract_z
_atom_site_occupancy
Os1 0.250 0.250 0.250 1
Y1 0.750 0.750 0.750 1
Hg1 0.506 0.506 0.506 1
Hg2 0.994 0.994 0.994 1
# Total moment: 0.81 μB/f.u.
# Fermi-level density of states: 3.29 states/eV/cell
# Uncorrected energy: -16.1 eV per cell
# ΔH_f (0 K): 0.56 eV per atom